No. 1
A geometry-optimized CuRu2Pb structure. Source: the Alexandria database, functional PBE.

Lattice parameters (Å, degrees): 2.9175 3.5735 6.4488 90.00 90.00 90.00
Positions (direct):
Ru 0.5000 0.5000 0.2436
Ru 0.0000 0.0000 0.0536
Pb 0.5000 0.5000 0.7450
Cu 0.0000 0.0000 0.4578

## Properties
* ΔH_f (0 K): 0.429 eV/atom
* symmetry: Pmm2
* density: 11.679 g cm⁻³

No. 2
A geometry-optimized BaSb3Te structure. Source: the Alexandria database, functional PBE.

Lattice parameters (Å, degrees): 5.8032 5.8032 5.8032 90.00 90.00 90.00
Positions (direct):
Sb 0.0000 0.5000 0.0000
Ba 0.5000 0.5000 0.5000
Sb 0.5000 0.0000 0.0000
Te 0.0000 0.0000 0.0000
Sb 0.0000 0.0000 0.5000

## Properties
* uncorrected formation energy: 53 meV per atom
* symmetry: Pm-3m
* density: 5.355 g cm⁻³
* energy above the lowest structure with this stoichiometry: 0 meV/atom

No. 3
A geometry-optimized OsRh2F structure. Source: the Alexandria database, functional PBE.

Lattice parameters (Å, degrees): 4.2528 4.2528 4.2528 60.00 60.00 60.00
Positions (direct):
Rh 0.7500 0.7500 0.7500
Os 0.5000 0.5000 0.5000
F 0.0000 0.0000 0.0000
Rh 0.2500 0.2500 0.2500

## Properties
* uncorrected formation energy: 278 meV per atom
* symmetry: Fm-3m
* density: 12.672 g cm⁻³
* energy above the lowest structure with this stoichiometry: 0 meV/atom

No. 4
A geometry-optimized RbLiPbC2 structure. Source: the Alexandria database, functional PBE.

Lattice parameters (Å, degrees): 4.7243 5.1760 4.7243 90.00 90.00 90.00
Positions (direct):
Rb 0.5000 0.5000 0.5000
C 0.0000 0.0000 0.5000
Pb 0.0000 0.0000 0.0000
Li 0.0000 0.5000 0.0000
C 0.5000 0.0000 0.0000

## Properties
* ΔH_f (0 K): 1.869 eV/atom
* symmetry: P4/mmm
* density: 4.652 g cm⁻³

No. 5
A geometry-optimized ZrMo2C structure. Source: the Alexandria database, functional PBE.

Lattice parameters (Å, degrees): 3.0254 3.0254 6.6026 90.00 90.00 90.00
Positions (direct):
Zr 0.0000 0.0000 0.5064
Mo 0.0000 0.0000 0.9352
C 0.5000 0.5000 0.8528
Mo 0.5000 0.5000 0.2055

## Properties
* ΔH_f (0 K): 0.325 eV/atom
* symmetry: P4mm
* density: 8.109 g cm⁻³

No. 6
A geometry-optimized Cr2BiCl2 structure. Source: the Alexandria database, functional PBE.

Lattice parameters (Å, degrees): 4.1570 4.1570 5.8997 69.37 69.37 90.00
Each line ends with the local moment (μB).
Positions (direct):
Cr 0.7500 0.2500 0.5000  0.27
Cr 0.2500 0.7500 0.5000  0.27
Cl 0.6534 0.6534 0.6931  -0.01
Cl 0.3466 0.3466 0.3069  -0.01
Bi 0.0000 0.0000 0.0000  -0.05

## Properties
* uncorrected formation energy: 415 meV per atom
* symmetry: I4/mmm
* density: 7.211 g cm⁻³
* energy above the lowest structure with this stoichiometry: 0 meV/atom

Number 1: D(E_F) 2.99 states/eV/cell. Number 2: D(E_F) 6.00 states/eV/cell. Number 3: D(E_F) 9.43 states/eV/cell. Number 4: D(E_F) 2.19 states/eV/cell. Number 5: D(E_F) 2.13 states/eV/cell. Number 6: D(E_F) 4.93 states/eV/cell.